(1)
# NdScIn6 PBE optimized geometry
data_NdScIn6
_cell_length_a 4.629
_cell_length_b 4.629
_cell_length_c 9.218
_cell_angle_alpha 90.00
_cell_angle_beta 90.00
_cell_angle_gamma 90.00
_symmetry_space_group_name_H-M 'P 4/m m m'
_symmetry_Int_Tables_number 123
_symmetry_space_group_name_Hall '-P 4 2'
loop_
_atom_site_label
_atom_site_fract_x
_atom_site_fract_y
_atom_site_fract_z
_atom_site_occupancy
Nd1 0.000 0.000 0.000 1
Sc1 0.000 0.000 0.500 1
In1 0.000 0.500 0.261 1
In2 0.500 0.500 0.000 1
In3 0.500 0.500 0.500 1
# D(E_F): 2.36 states/eV/cell
# calculated total energy: -3.827 eV/atom
# formation energy: -37.3 kJ per mole of atoms



(2)
# AcPmHSe2 PBE optimized geometry
data_AcPmHSe2
_cell_length_a 4.107
_cell_length_b 4.107
_cell_length_c 15.193
_cell_angle_alpha 90.00
_cell_angle_beta 90.00
_cell_angle_gamma 90.00
_symmetry_space_group_name_H-M 'P 4/n m m'
_symmetry_Int_Tables_number 129
loop_
_symmetry_equiv_pos_as_xyz
'x,y,z'
'-x,-y,-z'
'-y+1/2,x,z'
'y+1/2,-x,-z'
'-x+1/2,-y+1/2,z'
'x+1/2,y+1/2,-z'
'y,-x+1/2,z'
'-y,x+1/2,-z'
'x+1/2,-y,-z'
'-x+1/2,y,z'
'-y,-x,-z'
'y,x,z'
'-x,y+1/2,-z'
'x,-y+1/2,z'
'y+1/2,x+1/2,-z'
'-y+1/2,-x+1/2,z'
loop_
_atom_site_label
_atom_site_fract_x
_atom_site_fract_y
_atom_site_fract_z
_atom_site_occupancy
Ac1 0.250 0.250 0.137 1
Pm1 0.250 0.250 0.591 1
H1 0.250 0.750 0.500 1
Se1 0.250 0.250 0.342 1
Se2 0.250 0.250 0.918 1
# D(E_F): 5.32 states/eV/cell
# calculated total energy: -5.270 eV/atom



| no. | M_tot (Bohr magnetons per cell) |
| --- | --- |
| 1 | 0.000 |
| 2 | 0.000 |